Entry 1:
Density functional theory data (GGA-PBE) for an optimized crystal structure of KRu2PbO8.

Output
SG = No. 12
uncorrected formation energy = -0.98 eV/atom
Fermi-level density of states = 8.19 states/eV per cell

abc: 6.2920 6.2920 6.8822
angles: 107.75 107.75 58.79
Closest atoms and distances in Å follow each position.
Sites, in units of the cell vectors:
K (0.0000, 0.0000, 0.0000)  6 O 2.72-3.02
Ru (0.2102, 0.2102, 0.6826)  4 O 1.76-1.78
Ru (0.7898, 0.7898, 0.3174)  4 O 1.76-1.78
Pb (0.5000, 0.5000, 0.5000)  6 O 2.53-2.56
O (0.0905, 0.6217, 0.2402)  1 Ru 1.78
O (0.1496, 0.1496, 0.4089)  1 Ru 1.76
O (0.3783, 0.9095, 0.7598)  1 Ru 1.78
O (0.3828, 0.3828, 0.7626)  1 Ru 1.78
O (0.6172, 0.6172, 0.2374)  1 Ru 1.78
O (0.6217, 0.0905, 0.2402)  1 Ru 1.78
O (0.8504, 0.8504, 0.5911)  1 Ru 1.76
O (0.9095, 0.3783, 0.7598)  1 Ru 1.78

=====

Entry 2:
Density functional theory data (GGA-PBE) for an optimized crystal structure of CaLaY2.

Output
relative energy among the computed polymorphs = 0.0046 eV/atom
SG = No. 99
energy of formation from the pure elements = 0.0608 eV per atom
Fermi-level density of states = 6.69 states/eV per cell

abc: 3.6679 3.6679 10.6498
angles: 90.00 90.00 90.00
Closest atoms and distances in Å follow each position.
Sites, in units of the cell vectors:
Ca (0.0000, 0.0000, 0.0000)  4 Ca 3.67, 4 Y 3.78, 4 La 3.90
La (0.5000, 0.5000, 0.2739)  4 Y 3.65, 4 La 3.67, 4 Ca 3.90
Y (0.0000, 0.0000, 0.5148)  8 Y 3.55-3.67, 4 La 3.65
Y (0.5000, 0.5000, 0.7419)  8 Y 3.55-3.67, 4 Ca 3.78

=====

Entry 3:
Density functional theory data (GGA-PBE) for an optimized crystal structure of La7FeI12.

Output
SG = No. 148
uncorrected formation energy = -1.29 eV/atom
Fermi-level density of states = 11.83 states/eV per cell

abc: 10.1358 10.1358 10.1358
angles: 107.22 107.22 107.22
Closest atoms and distances in Å follow each position.
Sites, in units of the cell vectors:
La (0.0000, 0.0000, 0.0000)  6 I 3.21
La (0.2003, 0.4721, 0.3981)  1 Fe 2.80
La (0.3981, 0.2003, 0.4721)  1 Fe 2.80
La (0.4721, 0.3981, 0.2003)  1 Fe 2.80
La (0.5279, 0.6019, 0.7997)  1 Fe 2.80
La (0.6019, 0.7997, 0.5279)  1 Fe 2.80
La (0.7997, 0.5279, 0.6019)  1 Fe 2.80
Fe (0.5000, 0.5000, 0.5000)  6 La 2.80
I (0.0286, 0.1122, 0.3427)  3 La 3.21-3.33
I (0.1122, 0.3427, 0.0286)  3 La 3.21-3.33
I (0.1799, 0.5721, 0.7245)  3 La 3.25-3.52
I (0.2755, 0.8201, 0.4279)  3 La 3.25-3.52
I (0.3427, 0.0286, 0.1122)  3 La 3.21-3.33
I (0.4279, 0.2755, 0.8201)  3 La 3.25-3.52
I (0.5721, 0.7245, 0.1799)  3 La 3.25-3.52
I (0.6573, 0.9714, 0.8878)  3 La 3.21-3.33
I (0.7245, 0.1799, 0.5721)  3 La 3.25-3.52
I (0.8201, 0.4279, 0.2755)  3 La 3.25-3.52
I (0.8878, 0.6573, 0.9714)  3 La 3.21-3.33
I (0.9714, 0.8878, 0.6573)  3 La 3.21-3.33

=====

Entry 4:
Density functional theory data (GGA-PBE) for an optimized crystal structure of Sc5CdAu3.

Output
SG = No. 193
energy of formation from the pure elements = -0.5753 eV per atom
Fermi-level density of states = 19.06 states/eV per cell

abc: 8.4657 8.4657 6.0621
angles: 90.00 90.00 120.00
Closest atoms and distances in Å follow each position.
Sites, in units of the cell vectors:
Sc (0.0000, 0.3116, 0.2500)  3 Au 2.71-2.91
Sc (0.0000, 0.6884, 0.7500)  3 Au 2.71-2.91
Sc (0.3116, 0.0000, 0.2500)  3 Au 2.71-2.91
Sc (0.3116, 0.3116, 0.7500)  3 Au 2.71-2.91
Sc (0.3333, 0.6667, 0.0000)  8 Sc 3.03-3.29, 6 Au 3.09
Sc (0.3333, 0.6667, 0.5000)  8 Sc 3.03-3.29, 6 Au 3.09
Sc (0.6667, 0.3333, 0.0000)  8 Sc 3.03-3.29, 6 Au 3.09
Sc (0.6667, 0.3333, 0.5000)  8 Sc 3.03-3.29, 6 Au 3.09
Sc (0.6884, 0.0000, 0.7500)  3 Au 2.71-2.91
Sc (0.6884, 0.6884, 0.2500)  3 Au 2.71-2.91
Cd (0.0000, 0.0000, 0.0000)  2 Cd 3.03, 6 Sc 3.04
Cd (0.0000, 0.0000, 0.5000)  2 Cd 3.03, 6 Sc 3.04
Au (0.0000, 0.3679, 0.7500)  3 Sc 2.71-2.91
Au (0.0000, 0.6321, 0.2500)  3 Sc 2.71-2.91
Au (0.3679, 0.0000, 0.7500)  3 Sc 2.71-2.91
Au (0.3679, 0.3679, 0.2500)  3 Sc 2.71-2.91
Au (0.6321, 0.0000, 0.2500)  3 Sc 2.71-2.91
Au (0.6321, 0.6321, 0.7500)  3 Sc 2.71-2.91

=====

Q: Which value of Fermi-level density of states does entry 4 give?
A: 19.06 states/eV per cell

=====

Q: Number 4 is which compound?
A: Sc5CdAu3